Material: AlOs2Cl
Method: DFT, PBE-GGA
State: optimized geometry

Properties
- Energy relative to the elements, uncorrected: 359 kJ/mol of formula units
- Volume: 61.5 Å³/cell
- Mass density: 11.95 g/cm3

Cell: 4.4317 4.4317 4.4317 Å, 60.00 60.00 60.00°
Fractional coordinates of all 4 atoms:
Al 0.0000 0.0000 0.0000
Os 0.5000 0.5000 0.5000
Os 0.7500 0.7500 0.7500
Cl 0.2500 0.2500 0.2500

---

Material: AlOs2Cl
Method: DFT, PBE-GGA
State: optimized geometry

Properties
- Energy relative to the elements, uncorrected: 164 kJ/mol of formula units
- Volume: 58.5 Å³/cell
- Mass density: 12.58 g/cm3

Cell: 8.4651 8.4651 8.4651 Å, 19.39 19.39 19.39°
Fractional coordinates of all 4 atoms:
Al 0.0000 0.0000 0.0000
Os 0.2515 0.2515 0.2515
Os 0.7485 0.7485 0.7485
Cl 0.5000 0.5000 0.5000